The following is a SCAN calculation of a PBEsol-optimized structure of SiB2Ru2, from Alexandria.

Cell lengths 2.8851, 2.8851, 6.4706 Å; angles 102.88, 102.88, 90.00 degrees
With the nearest neighbours (Å) after each atom.
Sites, in units of the cell vectors:
Ru 0.3833 0.3833 0.7665  4 B 2.18
Ru 0.6167 0.6167 0.2335  4 B 2.18
Si 0.0000 0.0000 0.0000  8 Ru 2.49
B 0.2500 0.7500 0.5000  4 B 2.04, 4 Ru 2.18
B 0.7500 0.2500 0.5000  4 B 2.04, 4 Ru 2.18

Calculated values
raw formation energy: -0.5106 eV/atom
electronic total energy: -97.080 eV/cell

***

The following is a SCAN calculation of a PBEsol-optimized structure of Ta2B2Ru, from Alexandria.

Cell lengths 3.4494, 5.8077, 5.8077 Å; angles 90.00, 90.00, 90.00 degrees
With the nearest neighbours (Å) after each atom.
Sites, in units of the cell vectors:
Ru 0.0000 0.0000 0.0000  4 B 2.33
Ru 0.0000 0.5000 0.5000  4 B 2.33
B 0.0000 0.3848 0.8848  1 B 1.89
B 0.0000 0.8848 0.6152  1 B 1.89
B 0.0000 0.6152 0.1152  1 B 1.89
B 0.0000 0.1152 0.3848  1 B 1.89
Ta 0.5000 0.1764 0.6764  6 B 2.43-2.44
Ta 0.5000 0.6764 0.8236  6 B 2.43-2.44
Ta 0.5000 0.8236 0.3236  6 B 2.43-2.44
Ta 0.5000 0.3236 0.1764  6 B 2.43-2.44

Calculated values
ΔH_f (0 K): -687 meV/atom
electronic total energy: -372.572 eV/cell

***

The following is a SCAN calculation of a PBEsol-optimized structure of TaBRu, from Alexandria.

Cell lengths 3.1437, 8.8689, 15.4069 Å; angles 90.00, 90.00, 90.00 degrees
With the nearest neighbours (Å) after each atom.
Sites, in units of the cell vectors:
Ta 0.0000 0.8023 0.4954  5 B 2.35-2.63
Ta 0.0000 0.1977 0.5046  5 B 2.35-2.63
Ta 0.0000 0.3023 0.0046  5 B 2.35-2.63
Ta 0.0000 0.6977 0.9954  5 B 2.35-2.63
Ta 0.0000 0.5147 0.5951  6 B 2.33-2.37
Ta 0.0000 0.4853 0.4049  6 B 2.33-2.37
Ta 0.0000 0.0147 0.9049  6 B 2.33-2.37
Ta 0.0000 0.9853 0.0951  6 B 2.33-2.37
Ta 0.0000 0.6853 0.2045  4 B 2.42-2.68
Ta 0.0000 0.3147 0.7955  4 B 2.42-2.68
Ta 0.0000 0.1853 0.2955  4 B 2.42-2.68
Ta 0.0000 0.8147 0.7045  4 B 2.42-2.68
B 0.5000 0.6050 0.4965  2 B 1.87
B 0.5000 0.3950 0.5035  2 B 1.87
B 0.5000 0.1050 0.0035  2 B 1.87
B 0.5000 0.8950 0.9965  2 B 1.87
B 0.0000 0.6095 0.8322  6 Ru 2.21-2.23
B 0.0000 0.3905 0.1678  6 Ru 2.21-2.23
B 0.0000 0.1095 0.6678  6 Ru 2.21-2.23
B 0.0000 0.8905 0.3322  6 Ru 2.21-2.23
B 0.5000 0.7152 0.6000  1 B 1.87
B 0.5000 0.2848 0.4000  1 B 1.87
B 0.5000 0.2152 0.9000  1 B 1.87
B 0.5000 0.7848 0.1000  1 B 1.87
Ru 0.5000 0.7206 0.3563  3 B 2.21-2.39
Ru 0.5000 0.2794 0.6437  3 B 2.21-2.39
Ru 0.5000 0.2206 0.1437  3 B 2.21-2.39
Ru 0.5000 0.7794 0.8563  3 B 2.21-2.39
Ru 0.5000 0.5159 0.0952  3 B 2.23-2.39
Ru 0.5000 0.4841 0.9048  3 B 2.23-2.39
Ru 0.5000 0.0159 0.4048  3 B 2.23-2.39
Ru 0.5000 0.9841 0.5952  3 B 2.23-2.39
Ru 0.5000 0.5641 0.7351  2 B 2.21
Ru 0.5000 0.4359 0.2649  2 B 2.21
Ru 0.5000 0.0641 0.7649  2 B 2.21
Ru 0.5000 0.9359 0.2351  2 B 2.21

Calculated values
ΔH_f (0 K): -675 meV/atom
electronic total energy: -1330.355 eV/cell